# 1
Material: Ac2NdHo4
Method: DFT, PBE
State: relaxed

Lattice parameters (Å, degrees): 3.6511 37.6119 3.6591 90.00 90.00 90.00
Space group Cmmm (No. 65)
Unique sites:
Ac 0.0000 0.2040 0.0000
Nd 0.0000 0.5000 0.5000
Ho 0.0000 0.0666 0.0000
Ho 0.0000 0.3692 0.5000

- energy relative to the elements (meV/atom) = 95


# 2
Material: EuDyNiIr
Method: DFT, PBE
State: relaxed

Lattice parameters (Å, degrees): 6.8938 6.8938 6.8938 90.00 90.00 90.00
Space group F-43m (No. 216)
Unique sites:
Eu 0.0000 0.0000 0.0000
Dy 0.0000 0.0000 0.5000
Ni 0.2500 0.2500 0.7500
Ir 0.2500 0.2500 0.2500

- energy relative to the elements (meV/atom) = -385


# 3
Material: ReRhF2
Method: DFT, PBE
State: relaxed

Lattice parameters (Å, degrees): 2.6969 2.6969 26.6303 90.00 90.00 120.00
Space group R-3m (No. 166, hexagonal axes)
Unique sites:
Re 0.0000 0.0000 0.0000
Rh 0.0000 0.0000 0.5000
F 0.0000 0.0000 0.0724

- energy relative to the elements, uncorrected (eV/atom) = -0.58
- energy above the lowest structure with this stoichiometry (eV/f.u.) = 0.00


Ρ
In order: 8.3, 11.5, 9.7
Unit: g cm⁻³